(1)
## TiZnCuIr (PBE-GGA)

Data for an optimized crystal structure of TiZnCuIr.

The structure in POSCAR format:
```
TiZnCuIr
1.0
3.913 0.000 0.000
0.000 3.913 0.000
-1.956 -1.957 3.673
Ti Zn Cu Ir
1 1 1 1
direct
0.250 0.750 0.500
0.750 0.250 0.500
0.500 0.500 0.000
0.000 0.000 0.000
```

Properties
The formation energy comes out at -39.2 kJ per mole of atoms. The value obtained for the total energy is -5.94 eV per atom. The energy relative to the lowest polymorph listed for this composition is 0.000 eV/atom.



(2)
## TiZnCuIr (PBE-GGA)

Data for an optimized crystal structure of TiZnCuIr.

The structure in POSCAR format:
```
TiZnCuIr
1.0
4.314 0.000 0.000
2.157 3.736 0.000
2.157 1.245 3.522
Zn Ir Cu Ti
1 1 1 1
direct
0.000 0.000 0.000
0.750 0.750 0.750
0.250 0.250 0.250
0.500 0.500 0.500
```

Properties
The formation energy comes out at -37.8 kJ per mole of atoms. The value obtained for the total energy is -5.92 eV per atom. The energy relative to the lowest polymorph listed for this composition is 0.015 eV/atom.



(3)
## TlCu2Ir (PBE-GGA)

Data for an optimized crystal structure of TlCu2Ir.

The structure in POSCAR format:
```
TlCu2Ir
1.0
-0.558 -0.664 -3.715
-2.838 -0.570 0.528
-3.882 4.893 -0.291
Cu Ir Tl
2 1 1
direct
0.000 0.957 0.035
0.000 0.543 0.465
0.500 0.250 0.250
0.500 0.750 0.750
```

Properties
The formation energy comes out at 32.7 kJ per mole of atoms. The value obtained for the total energy is -4.52 eV per atom. The energy relative to the lowest polymorph listed for this composition is 0.087 eV/atom.



(4)
## Tl4CuIr (PBE-GGA)

Data for an optimized crystal structure of Tl4CuIr.

The structure in POSCAR format:
```
Tl4CuIr
1.0
0.000 4.292 4.292
4.292 0.000 4.292
4.292 4.292 0.000
Tl Cu Ir
4 1 1
direct
0.876 0.375 0.375
0.375 0.375 0.876
0.375 0.876 0.375
0.375 0.375 0.375
0.750 0.750 0.750
0.000 0.000 0.000
```

Properties
The formation energy comes out at 99.1 kJ per mole of atoms. The value obtained for the total energy is -2.71 eV per atom.



(5)
## TlCu2Ir (PBE-GGA)

Data for an optimized crystal structure of TlCu2Ir.

The structure in POSCAR format:
```
TlCu2Ir
1.0
5.053 -0.038 0.412
3.992 3.098 0.412
1.505 0.509 4.004
Cu Ir Tl
2 1 1
direct
0.014 0.014 0.987
0.737 0.737 0.762
0.489 0.489 0.512
0.259 0.259 0.240
```

Properties
The formation energy comes out at 31.8 kJ per mole of atoms. The value obtained for the total energy is -4.52 eV per atom. The energy relative to the lowest polymorph listed for this composition is 0.078 eV/atom.



(6)
## TlCu2Ir (PBE-GGA)

Data for an optimized crystal structure of TlCu2Ir.

The structure in POSCAR format:
```
TlCu2Ir
1.0
4.757 0.011 -0.002
3.792 2.872 -0.002
0.918 0.309 4.668
Cu Ir Tl
2 1 1
direct
0.009 0.009 0.961
0.491 0.491 0.539
0.750 0.750 0.750
0.250 0.250 0.250
```

Properties
The formation energy comes out at 32.4 kJ per mole of atoms. The value obtained for the total energy is -4.52 eV per atom. The energy relative to the lowest polymorph listed for this composition is 0.084 eV/atom.



(7)
## TlCu2Ir (PBE-GGA)

Data for an optimized crystal structure of TlCu2Ir.

The structure in POSCAR format:
```
TlCu2Ir
1.0
4.783 0.023 0.000
1.437 4.562 0.000
-3.110 -2.292 2.820
Cu Ir Tl
2 1 1
direct
0.000 0.000 0.000
0.500 0.500 0.000
0.250 0.750 0.500
0.750 0.250 0.500
```

Properties
The formation energy comes out at 33.0 kJ per mole of atoms. The value obtained for the total energy is -4.51 eV per atom. The energy relative to the lowest polymorph listed for this composition is 0.090 eV/atom.



(8)
## TlCu2Ir (PBE-GGA)

Data for an optimized crystal structure of TlCu2Ir.

The structure in POSCAR format:
```
TlCu2Ir
1.0
4.519 0.000 -0.015
0.000 4.308 0.000
-2.241 0.000 7.297
Tl Ir Cu
2 2 4
direct
0.291 0.500 0.620
0.975 0.000 0.894
0.239 0.000 0.340
0.659 0.000 0.173
0.562 0.500 0.338
0.984 0.500 0.174
0.428 0.500 0.987
0.822 0.000 0.527
```

Properties
The formation energy comes out at 24.3 kJ per mole of atoms. The value obtained for the total energy is -4.60 eV per atom. The energy relative to the lowest polymorph listed for this composition is 0.000 eV/atom.